(1)
Below is a PBEsol-optimized structure of KTc2Ni, with properties calculated at the meta-GGA SCAN level.

symmetry: I4/mmm
excess energy over the best structure of this formula in the dataset: 0.755 eV per atom
E_tot: -0.8138 Ha/atom
ΔH_f (0 K): 6.0 eV per formula unit
calculated volume: 16.07 Å³/atom
N(E_F): 0.873 states/eV/atom

Cell and atoms, written as CIF:
```
data_KTc2Ni
_cell_length_a 3.6284
_cell_length_b 3.6284
_cell_length_c 5.5148
_cell_angle_alpha 109.21
_cell_angle_beta 109.21
_cell_angle_gamma 90.00
_symmetry_space_group_name_H-M 'P 1'
_symmetry_Int_Tables_number 1
_symmetry_space_group_name_Hall 'P 1'
loop_
_atom_site_label
_atom_site_type_symbol
_atom_site_fract_x
_atom_site_fract_y
_atom_site_fract_z
_atom_site_occupancy
Tc1 Tc 0.2500 0.7500 0.5000 1
Ni1 Ni 0.0000 0.0000 0.0000 1
K1 K 0.5000 0.5000 0.0000 1
Tc2 Tc 0.7500 0.2500 0.5000 1
```



(2)
Below is a PBEsol-optimized structure of KTcNi2, with properties calculated at the meta-GGA SCAN level.

symmetry: C2/m
excess energy over the best structure of this formula in the dataset: 0.000 eV per atom
E_tot: -0.6727 Ha/atom
ΔH_f (0 K): 2.5 eV per formula unit
calculated volume: 17.74 Å³/atom
N(E_F): 0.860 states/eV/atom

Cell and atoms, written as CIF:
```
data_KTcNi2
_cell_length_a 2.5701
_cell_length_b 4.2144
_cell_length_c 6.8888
_cell_angle_alpha 93.19
_cell_angle_beta 90.00
_cell_angle_gamma 107.75
_symmetry_space_group_name_H-M 'P 1'
_symmetry_Int_Tables_number 1
_symmetry_space_group_name_Hall 'P 1'
loop_
_atom_site_label
_atom_site_type_symbol
_atom_site_fract_x
_atom_site_fract_y
_atom_site_fract_z
_atom_site_occupancy
K1 K 0.5000 0.0000 0.0000 1
Ni1 Ni 0.2583 0.5166 0.3511 1
Tc1 Tc 0.0000 0.0000 0.5000 1
Ni2 Ni 0.7417 0.4834 0.6489 1
```



(3)
Below is a PBEsol-optimized structure of KTcNi2, with properties calculated at the meta-GGA SCAN level.

symmetry: P4/mmm
excess energy over the best structure of this formula in the dataset: 0.285 eV per atom
E_tot: -0.6622 Ha/atom
ΔH_f (0 K): 3.7 eV per formula unit
calculated volume: 14.66 Å³/atom
N(E_F): 0.510 states/eV/atom

Cell and atoms, written as CIF:
```
data_KTcNi2
_cell_length_a 2.5528
_cell_length_b 4.7929
_cell_length_c 4.7929
_cell_angle_alpha 90.00
_cell_angle_beta 90.00
_cell_angle_gamma 90.00
_symmetry_space_group_name_H-M 'P 1'
_symmetry_Int_Tables_number 1
_symmetry_space_group_name_Hall 'P 1'
loop_
_atom_site_label
_atom_site_type_symbol
_atom_site_fract_x
_atom_site_fract_y
_atom_site_fract_z
_atom_site_occupancy
Ni1 Ni 0.0000 0.0000 0.5000 1
Ni2 Ni 0.0000 0.5000 0.0000 1
Tc1 Tc 0.5000 0.5000 0.5000 1
K1 K 0.5000 0.0000 0.0000 1
```



calculated volume of number 1 (KTc2Ni)? 16.07 Å³/atom